First-principles (PBE) data for an optimized crystal structure of TiPRuS2, as listed in Alexandria.

**Final energy**: -5.68 eV/atom
**DOS(E_F)**: 1.026 states/eV/atom
**ΔE_f (raw)**: 0.484 eV per atom
**Distance to the lowest polymorph of the same formula**: 56 meV/atom
**Magnetization**: 2.7 Bohr magnetons per cell
**Theoretical density**: 4.055 g cm⁻³

a = 4.5953 Å, b = 4.5953 Å, c = 4.7320 Å
α = 90.00°, β = 90.00°, γ = 90.00°
With the nearest neighbours (Å) after each atom.
Atoms (fractional coordinates):
Ti  0.0000  0.0000  0.0000  4 S 2.30, 2 P 2.37
P  0.0000  0.0000  0.5000  2 Ti 2.37
Ru  0.5000  0.5000  0.5000  4 P 3.25, 8 S 3.30
S  0.0000  0.5000  0.0000  2 Ti 2.30
S  0.5000  0.0000  0.0000  2 Ti 2.30